(1)
# SrCaAgRh

A relaxed structure of SrCaAgRh (PBE-GGA, the Alexandria database).

Cell and atoms, written as POSCAR:
```
SrCaAgRh
1.0
5.178 0.000 0.000
2.589 4.485 0.000
2.589 1.495 4.228
Rh Ca Ag Sr
1 1 1 1
Cartesian
5.178 2.990 2.114
2.589 1.495 1.057
0.000 0.000 0.000
7.767 4.485 3.171
```

Calculated values
As for the formation energy: -0.2398 eV/atom.

(2)
# NaAsS

A relaxed structure of NaAsS (PBE-GGA, the Alexandria database).

Cell and atoms, written as POSCAR:
```
NaAsS
1.0
3.847 0.031 -0.014
1.928 5.045 0.501
0.059 2.027 8.067
Na S As
2 2 2
Cartesian
2.798 3.284 4.482
2.808 0.985 2.391
4.715 3.192 2.213
2.820 6.123 5.162
2.842 5.047 7.150
4.760 6.296 8.292
```

Calculated values
Its excess energy over the best structure of this formula in the dataset is 0.000 eV per atom.

(3)
# ScNi2BPd

A relaxed structure of ScNi2BPd (PBE-GGA, the Alexandria database).

Cell and atoms, written as POSCAR:
```
ScNi2BPd
1.0
3.943 0.000 0.000
0.000 3.943 0.000
0.000 0.000 4.215
Ni Sc B Pd
2 1 1 1
Cartesian
0.000 1.971 0.000
1.971 0.000 0.000
1.971 1.971 2.108
0.000 0.000 0.000
0.000 0.000 2.108
```

Calculated values
As for the formation energy: -0.4368 eV/atom.

(4)
# Tl6AuBr3Cl2

A relaxed structure of Tl6AuBr3Cl2 (PBE-GGA, the Alexandria database).

Cell and atoms, written as POSCAR:
```
Tl6AuBr3Cl2
1.0
-2.305 -0.500 7.666
2.463 -6.567 -3.891
7.028 3.699 0.957
Tl Cl Br Au
6 2 3 1
Cartesian
0.905 0.151 2.992
2.445 -1.809 -0.740
6.281 -3.518 1.740
5.425 1.105 1.658
1.760 -4.472 3.074
4.741 -1.559 5.472
-0.714 -2.524 3.811
0.873 -4.543 -0.036
3.593 -1.684 2.366
2.004 0.338 6.217
5.182 -3.706 -1.485
0.000 0.000 0.000
```

Calculated values
The calculation puts the total DFT energy (no corrections) at -2.93 eV per atom.

(5)
# LaPrNd2

A relaxed structure of LaPrNd2 (PBE-GGA, the Alexandria database).

Cell and atoms, written as POSCAR:
```
LaPrNd2
1.0
-3.163 3.224 2.673
-5.817 -4.224 -1.787
1.052 -4.034 6.109
La Nd Pr
2 4 2
Cartesian
-4.616 2.166 2.228
-3.311 -7.200 4.768
-3.701 -3.521 5.017
-4.226 -1.513 1.978
-1.318 0.599 2.872
-6.609 -5.633 4.124
-4.090 0.149 5.283
-3.837 -5.183 1.713
```

Calculated values
As for the formation energy: 0.0122 eV/atom. Its excess energy over the best structure of this formula in the dataset is 0.001 eV per atom.

(6)
# Tb5Tm2Sc12

A relaxed structure of Tb5Tm2Sc12 (PBE-GGA, the Alexandria database).

Cell and atoms, written as POSCAR:
```
Tb5Tm2Sc12
1.0
8.664 0.000 0.000
-4.332 7.263 0.936
0.000 -1.513 8.096
Sc Tb Tm
12 5 2
Cartesian
5.967 0.870 5.653
4.332 0.245 2.831
0.000 5.505 6.200
1.635 4.880 3.379
1.541 1.746 2.275
-2.791 4.003 6.757
7.124 1.746 2.275
0.000 -0.331 7.184
4.332 6.081 1.847
2.697 0.870 5.653
-1.635 4.880 3.379
2.791 4.003 6.757
0.000 2.546 5.083
4.332 3.077 0.522
4.332 3.204 3.948
0.000 2.672 8.510
0.000 -0.756 4.048
5.870 0.000 0.000
2.795 0.000 0.000
```

Calculated values
As for the formation energy: 0.1276 eV/atom.